Entry from Alexandria: an optimized crystal structure of Na2YNbSi (GGA-PBE).

```
Na2YNbSi
1.0
-3.038 -1.605 3.983
4.326 0.452 3.482
-1.326 4.991 1.000
Y Na Nb Si
1 2 1 1
direct
0.000 0.500 0.000
0.000 0.000 0.500
0.500 0.000 0.000
0.500 0.500 0.500
0.000 0.000 0.000
```

Calculated values
Formation energy (no corrections) = 0.98 eV/atom
Raw total energy = -3.94 eV/atom

=====

Entry from Alexandria: an optimized crystal structure of Pm3Hg2Ge3 (GGA-PBE).

```
Pm3Hg2Ge3
1.0
6.154 0.000 0.000
0.000 8.885 0.000
0.000 -4.442 7.694
Pm Hg Ge
6 4 6
direct
0.750 0.319 0.000
0.750 0.681 0.681
0.750 0.000 0.319
0.250 0.681 0.000
0.250 0.319 0.319
0.250 0.000 0.681
0.000 0.333 0.667
0.500 0.667 0.333
0.000 0.667 0.333
0.500 0.333 0.667
0.750 0.652 0.000
0.750 0.348 0.348
0.750 0.000 0.652
0.250 0.348 0.000
0.250 0.652 0.652
0.250 0.000 0.348
```

Calculated values
Raw total energy = -4.08 eV/atom
Energy of formation from the pure elements = -11.25 kcal/mol of atoms

=====

Entry from Alexandria: an optimized crystal structure of TaAlVRe (GGA-PBE).

```
TaAlVRe
1.0
-2.218 2.368 -3.032
-2.589 -2.057 -2.965
-4.417 0.375 0.271
Re V Al Ta
1 1 1 1
direct
0.500 0.500 0.500
0.000 0.000 0.000
0.750 0.750 0.750
0.250 0.250 0.250
```

Calculated values
Raw total energy = -9.53 eV/atom
Energy of formation from the pure elements = -5.44 kcal/mol of atoms